{"formula": "CuNiTeO6", "functional": "PBE with a Hubbard U", "state": "relaxed", "lattice_angstrom": [[4.606, 0.000, 0.000], [0.000, 4.606, 0.000], [0.000, 0.000, 9.116]], "species": ["O", "O", "O", "O", "O", "O", "O", "O", "O", "O", "O", "O", "Cu", "Cu", "Te", "Te", "Ni", "Ni"], "frac_coords": [[0.193, 0.807, 0.497], [0.804, 0.196, 0.835], [0.196, 0.804, 0.835], [0.307, 0.307, 0.997], [0.693, 0.693, 0.997], [0.304, 0.304, 0.335], [0.689, 0.689, 0.667], [0.311, 0.311, 0.667], [0.189, 0.811, 0.167], [0.811, 0.189, 0.167], [0.696, 0.696, 0.335], [0.807, 0.193, 0.497], [0.500, 0.500, 0.500], [0.000, 0.000, 0.000], [0.000, 0.000, 0.334], [0.500, 0.500, 0.834], [0.500, 0.500, 0.167], [0.000, 0.000, 0.667]], "e_tot_ha_per_atom": -0.1868, "volume_a3_per_cell": 193.4, "magmom_total_mub_per_atom": 0.14, "crystal_system": "tetragonal"}